Entry 1:
A plane-wave DFT calculation with GGA-PBE was carried out for a geometry-optimized BaScSe2 structure.

E above lowest polymorph, eV/f.u.: 1.14
Energy relative to the elements, uncorrected, eV/f.u.: -5.8
Mass density, g/cm³: 4.83

Unit cell a=4.3593 b=4.3714 c=6.1433 alpha=90.00 beta=90.00 gamma=90.00
Last column: nearest neighbours and their distance in Å.
Space group Pmmm (No. 47)
Symmetry-distinct sites (fractional):
Ba 0.0000 0.0000 0.0000 [1 per cell]  6 Se 3.07-3.09
Sc 0.5000 0.5000 0.5000 [1 per cell]  6 Se 3.07-3.09
Se 0.0000 0.0000 0.5000 [1 per cell]  2 Ba 3.07, 4 Sc 3.09
Se 0.5000 0.5000 0.0000 [1 per cell]  2 Sc 3.07, 4 Ba 3.09

Entry 2:
A plane-wave DFT calculation with GGA-PBE was carried out for a geometry-optimized BaScSe4 structure.

Energy relative to the elements, uncorrected, eV/f.u.: -1.3
Mass density, g/cm³: 5.35

Unit cell a=8.5189 b=8.5189 c=8.5189 alpha=90.00 beta=90.00 gamma=90.00
Last column: nearest neighbours and their distance in Å.
Space group F-43m (No. 216)
Symmetry-distinct sites (fractional):
Ba 0.0000 0.0000 0.0000 [4 per cell]  12 Se 3.53, 4 Sc 3.69
Sc 0.2500 0.2500 0.7500 [4 per cell]  12 Se 3.53, 4 Ba 3.69
Se 0.1238 0.1238 0.3762 [16 per cell]  6 Se 2.98-3.04

Entry 3:
A plane-wave DFT calculation with GGA-PBE was carried out for a geometry-optimized BaScSe2 structure.

E above lowest polymorph, eV/f.u.: 0.41
Energy relative to the elements, uncorrected, eV/f.u.: -6.6
Mass density, g/cm³: 4.68

Unit cell a=5.3168 b=5.3168 c=4.2724 alpha=90.00 beta=90.00 gamma=90.00
Last column: nearest neighbours and their distance in Å.
Space group P4/mmm (No. 123)
Symmetry-distinct sites (fractional):
Ba 0.0000 0.0000 0.0000 [1 per cell]  8 Se 3.41
Sc 0.5000 0.5000 0.5000 [1 per cell]  4 Se 2.66
Se 0.0000 0.5000 0.5000 [2 per cell]  2 Sc 2.66

Entry 4:
A plane-wave DFT calculation with GGA-PBE was carried out for a geometry-optimized BaScSe2 structure.

E above lowest polymorph, eV/f.u.: 0.16
Energy relative to the elements, uncorrected, eV/f.u.: -6.8
Mass density, g/cm³: 5.17

Unit cell a=4.0926 b=4.0926 c=22.5823 alpha=90.00 beta=90.00 gamma=120.00
Last column: nearest neighbours and their distance in Å.
Space group R3m (No. 160, hexagonal axes)
Symmetry-distinct sites (fractional):
Ba 0.0000 0.0000 0.0000 [3 per cell]  6 Se 3.23-3.32
Sc 0.0000 0.0000 0.1720 [3 per cell]  6 Se 2.77-2.82
Se 0.0000 0.0000 0.5694 [3 per cell]  3 Sc 2.77
Se 0.0000 0.0000 0.7702 [3 per cell]  3 Sc 2.82

Entry 5:
A plane-wave DFT calculation with GGA-PBE was carried out for a geometry-optimized BaScSe2 structure.

E above lowest polymorph, eV/f.u.: 2.68
Energy relative to the elements, uncorrected, eV/f.u.: -4.3
Mass density, g/cm³: 4.57

Unit cell a=4.2741 b=4.2741 c=13.5229 alpha=90.00 beta=90.00 gamma=90.00
Last column: nearest neighbours and their distance in Å.
Space group I-4m2 (No. 119)
Symmetry-distinct sites (fractional):
Ba 0.0000 0.0000 0.0000 [2 per cell]  4 Se 3.02
Sc 0.0000 0.5000 0.7500 [2 per cell]  4 Se 3.02
Se 0.0000 0.0000 0.5000 [2 per cell]  4 Ba 3.02
Se 0.0000 0.5000 0.2500 [2 per cell]  4 Sc 3.02

Entry 6:
A plane-wave DFT calculation with GGA-PBE was carried out for a geometry-optimized BaScSe2 structure.

E above lowest polymorph, eV/f.u.: 1.76
Energy relative to the elements, uncorrected, eV/f.u.: -5.2
Mass density, g/cm³: 5.44

Unit cell a=7.4607 b=7.4607 c=7.4607 alpha=90.00 beta=90.00 gamma=90.00
Last column: nearest neighbours and their distance in Å.
Space group Fm-3m (No. 225)
Symmetry-distinct sites (fractional):
Ba 0.0000 0.0000 0.0000 [4 per cell]  8 Se 3.23
Sc 0.0000 0.0000 0.5000 [4 per cell]  8 Se 3.23
Se 0.2500 0.2500 0.2500 [8 per cell]  4 Ba 3.23, 4 Sc 3.23

Entry 7:
A plane-wave DFT calculation with GGA-PBE was carried out for a geometry-optimized BaScSe2 structure.

E above lowest polymorph, eV/f.u.: 1.10
Energy relative to the elements, uncorrected, eV/f.u.: -5.9
Mass density, g/cm³: 4.67

Unit cell a=4.1089 b=6.8391 c=8.6044 alpha=90.00 beta=90.00 gamma=90.00
Last column: nearest neighbours and their distance in Å.
Space group Immm (No. 71)
Symmetry-distinct sites (fractional):
Ba 0.0000 0.0000 0.0000 [2 per cell]  4 Se 3.29
Sc 0.0000 0.0000 0.5000 [2 per cell]  4 Se 2.69
Se 0.0000 0.5000 0.2019 [4 per cell]  2 Sc 2.69

Entry 8:
A plane-wave DFT calculation with GGA-PBE was carried out for a geometry-optimized Ba5ScSe6 structure.

Energy relative to the elements, uncorrected, eV/f.u.: -22.7
Mass density, g/cm³: 4.95

Unit cell a=7.9315 b=13.7057 c=7.9006 alpha=90.00 beta=109.70 gamma=90.00
Last column: nearest neighbours and their distance in Å.
Space group C2/m (No. 12)
Symmetry-distinct sites (fractional):
Ba 0.0000 0.0000 0.0000 [2 per cell]  6 Se 3.23-3.56
Ba 0.0000 0.1655 0.5000 [4 per cell]  6 Se 3.27
Ba 0.0000 0.3288 0.0000 [4 per cell]  6 Se 3.24-3.51
Sc 0.0000 0.5000 0.5000 [2 per cell]  6 Se 2.90-2.91
Se 0.2196 0.5000 0.2701 [4 per cell]  1 Sc 2.91, 2 Ba 3.25
Se 0.2247 0.3505 0.7268 [8 per cell]  1 Sc 2.90, 2 Ba 3.23-3.24

Entry 9:
A plane-wave DFT calculation with GGA-PBE was carried out for a geometry-optimized BaScSe2 structure.

E above lowest polymorph, eV/f.u.: 0.00
Energy relative to the elements, uncorrected, eV/f.u.: -7.0
Mass density, g/cm³: 5.19

Unit cell a=7.2062 b=4.1606 c=7.6467 alpha=90.00 beta=108.21 gamma=90.00
Last column: nearest neighbours and their distance in Å.
Space group C2/m (No. 12)
Symmetry-distinct sites (fractional):
Ba 0.0000 0.0000 0.0000 [2 per cell]  6 Se 3.24
Sc 0.0000 0.5000 0.5000 [2 per cell]  6 Se 2.81
Se 0.2334 0.0000 0.7002 [4 per cell]  3 Sc 2.81

Entry 10:
A plane-wave DFT calculation with GGA-PBE was carried out for a geometry-optimized BaSc3Se structure.

E above lowest polymorph, eV/f.u.: 0.00
Energy relative to the elements, uncorrected, eV/f.u.: -1.3
Mass density, g/cm³: 3.92

Unit cell a=5.2980 b=5.2980 c=5.2980 alpha=90.00 beta=90.00 gamma=90.00
Last column: nearest neighbours and their distance in Å.
Space group Pm-3m (No. 221)
Symmetry-distinct sites (fractional):
Ba 0.0000 0.0000 0.0000 [1 per cell]  12 Sc 3.75
Sc 0.0000 0.5000 0.5000 [3 per cell]  2 Se 2.65
Se 0.5000 0.5000 0.5000 [1 per cell]  6 Sc 2.65

Entry 11:
A plane-wave DFT calculation with GGA-PBE was carried out for a geometry-optimized Ba2ScSe2 structure.

Energy relative to the elements, uncorrected, eV/f.u.: -6.3
Mass density, g/cm³: 5.04

Unit cell a=8.2385 b=8.2385 c=4.6319 alpha=90.00 beta=90.00 gamma=90.00
Last column: nearest neighbours and their distance in Å.
Space group P4/mbm (No. 127)
Symmetry-distinct sites (fractional):
Ba 0.1527 0.3473 0.0000 [4 per cell]  6 Se 3.16-3.48
Sc 0.0000 0.0000 0.5000 [2 per cell]  4 Se 3.08
Se 0.1632 0.6632 0.5000 [4 per cell]  2 Sc 3.08, 2 Ba 3.16

Entry 12:
A plane-wave DFT calculation with GGA-PBE was carried out for a geometry-optimized BaScSe2 structure.

E above lowest polymorph, eV/f.u.: 1.03
Energy relative to the elements, uncorrected, eV/f.u.: -5.9
Mass density, g/cm³: 3.85

Unit cell a=6.8861 b=6.8861 c=12.3893 alpha=90.00 beta=90.00 gamma=90.00
Last column: nearest neighbours and their distance in Å.
Space group I-42d (No. 122)
Symmetry-distinct sites (fractional):
Ba 0.0000 0.0000 0.0000 [4 per cell]  4 Se 3.19
Sc 0.0000 0.0000 0.5000 [4 per cell]  4 Se 2.63
Se 0.1810 0.2500 0.6250 [8 per cell]  2 Sc 2.63

Number 1: final energy -21.053 eV/cell. Number 2: final energy -94.136 eV/cell. Number 3: final energy -21.788 eV/cell. Number 4: final energy -66.103 eV/cell. Number 5: final energy -39.038 eV/cell. Number 6: final energy -81.749 eV/cell. Number 7: final energy -42.191 eV/cell. Number 8: final energy -119.099 eV/cell. Number 9: final energy -44.396 eV/cell. Number 10: final energy -25.675 eV/cell. Number 11: final energy -46.833 eV/cell. Number 12: final energy -84.682 eV/cell.